Entry 1:
The following is a PBE calculation of Np3Ga5O12 after structural relaxation, from Alexandria via LeMat-Bulk.

size of the total moment = 11.96 μB/f.u.
crystal system = cubic
uncorrected formation energy = -2158 meV/atom

a = 10.9478 Å, b = 10.9478 Å, c = 10.9478 Å
α = 109.47°, β = 109.47°, γ = 109.47°
Atoms (fractional coordinates):
Np 0.1250 0.2500 0.3750
Np 0.1250 0.3750 0.7500
Np 0.2500 0.3750 0.1250
Np 0.2500 0.8750 0.6250
Np 0.3750 0.1250 0.2500
Np 0.3750 0.7500 0.1250
Np 0.6250 0.2500 0.8750
Np 0.6250 0.8750 0.7500
Np 0.7500 0.1250 0.3750
Np 0.7500 0.6250 0.8750
Np 0.8750 0.6250 0.2500
Np 0.8750 0.7500 0.6250
Ga 0.0000 0.0000 0.0000
Ga 0.0000 0.0000 0.5000
Ga 0.0000 0.5000 0.0000
Ga 0.0000 0.5000 0.5000
Ga 0.1250 0.7500 0.8750
Ga 0.1250 0.8750 0.2500
Ga 0.2500 0.1250 0.8750
Ga 0.2500 0.6250 0.3750
Ga 0.3750 0.2500 0.6250
Ga 0.3750 0.6250 0.7500
Ga 0.5000 0.0000 0.0000
Ga 0.5000 0.0000 0.5000
Ga 0.5000 0.5000 0.0000
Ga 0.5000 0.5000 0.5000
Ga 0.6250 0.3750 0.2500
Ga 0.6250 0.7500 0.3750
Ga 0.7500 0.3750 0.6250
Ga 0.7500 0.8750 0.1250
Ga 0.8750 0.1250 0.7500
Ga 0.8750 0.2500 0.1250
O 0.0241 0.2026 0.1199
O 0.0241 0.3215 0.9042
O 0.0827 0.7026 0.6785
O 0.0827 0.8801 0.4042
O 0.0958 0.6199 0.4173
O 0.0958 0.9759 0.6785
O 0.1199 0.0241 0.2026
O 0.1199 0.5958 0.9173
O 0.1785 0.2026 0.5827
O 0.1785 0.4759 0.5958
O 0.2026 0.1199 0.0241
O 0.2026 0.5827 0.1785
O 0.2974 0.3215 0.9173
O 0.2974 0.4759 0.3801
O 0.3215 0.9042 0.0241
O 0.3215 0.9173 0.2974
O 0.3801 0.2974 0.4759
O 0.3801 0.5827 0.9042
O 0.4042 0.0827 0.8801
O 0.4042 0.8215 0.5241
O 0.4173 0.0958 0.6199
O 0.4173 0.8215 0.7974
O 0.4759 0.3801 0.2974
O 0.4759 0.5958 0.1785
O 0.5241 0.4042 0.8215
O 0.5241 0.6199 0.7026
O 0.5827 0.1785 0.2026
O 0.5827 0.9042 0.3801
O 0.5958 0.1785 0.4759
O 0.5958 0.9173 0.1199
O 0.6199 0.4173 0.0958
O 0.6199 0.7026 0.5241
O 0.6785 0.0827 0.7026
O 0.6785 0.0958 0.9759
O 0.7026 0.5241 0.6199
O 0.7026 0.6785 0.0827
O 0.7974 0.4173 0.8215
O 0.7974 0.8801 0.9759
O 0.8215 0.5241 0.4042
O 0.8215 0.7974 0.4173
O 0.8801 0.4042 0.0827
O 0.8801 0.9759 0.7974
O 0.9042 0.0241 0.3215
O 0.9042 0.3801 0.5827
O 0.9173 0.1199 0.5958
O 0.9173 0.2974 0.3215
O 0.9759 0.6785 0.0958
O 0.9759 0.7974 0.8801


Entry 2:
The following is a PBE calculation of NpGaO4 after structural relaxation, from Alexandria via LeMat-Bulk.

size of the total moment = 2.00 μB/f.u.
crystal system = orthorhombic
uncorrected formation energy = -2369 meV/atom

a = 4.7131 Å, b = 4.7131 Å, c = 3.3937 Å
α = 90.00°, β = 90.00°, γ = 90.68°
Atoms (fractional coordinates):
Np 0.0000 0.0000 0.0000
Ga 0.5000 0.5000 0.5000
O 0.2076 0.2076 0.5000
O 0.3084 0.6916 0.0000
O 0.6916 0.3084 0.0000
O 0.7924 0.7924 0.5000